Entry 1
This record from the Alexandria database describes an optimized crystal structure of PmAlPt2. The functional is PBE.

abc: 4.3566 4.3566 14.7517
angles: 90.00 90.00 120.00
Space group R-3m (No. 166, hexagonal axes)
Inequivalent atoms, fractional coordinates:
1 Pm 0.0000 0.0000 0.0000 [3 per cell]
2 Al 0.0000 0.0000 0.5000 [3 per cell]
3 Pt 0.0000 0.0000 0.2117 [6 per cell]

- Density of states at the Fermi level: 7.7 states/eV per cell
- Calculated volume: 20.2 Å³/atom
- Magnetization: 0.00 Bohr magnetons per cell

=====

Entry 2
This record from the Alexandria database describes an optimized crystal structure of PmAlPt2. The functional is PBE.

abc: 4.7032 4.7032 3.4639
angles: 90.00 90.00 90.00
Space group P4/mmm (No. 123)
Inequivalent atoms, fractional coordinates:
1 Pm 0.0000 0.0000 0.0000 [1 per cell]
2 Al 0.5000 0.5000 0.0000 [1 per cell]
3 Pt 0.0000 0.5000 0.5000 [2 per cell]

- Density of states at the Fermi level: 1.8 states/eV per cell
- Calculated volume: 19.2 Å³/atom
- Magnetization: 0.00 Bohr magnetons per cell

=====

It comes down to entry 1, which is 27.2 kJ/mol of atoms more stable than the next structure.

=====

Entry 1
This record from the Alexandria database describes an optimized crystal structure of PmAlPt2. The functional is PBE.

abc: 7.4202 7.1078 5.8234
angles: 90.00 90.00 90.00
Space group Pnma (No. 62)
Inequivalent atoms, fractional coordinates:
1 Pm 0.0281 0.2500 0.1482 [4 per cell]
2 Al 0.1169 0.7500 0.3528 [4 per cell]
3 Pt 0.1806 0.0525 0.5868 [8 per cell]

- Density of states at the Fermi level: 7.6 states/eV per cell
- Calculated volume: 19.2 Å³/atom
- Magnetization: 0.00 Bohr magnetons per cell

=====

Entry 2
This record from the Alexandria database describes an optimized crystal structure of PmAlPt2. The functional is PBE.

abc: 6.7488 6.7488 6.7488
angles: 90.00 90.00 90.00
Space group Fm-3m (No. 225)
Inequivalent atoms, fractional coordinates:
1 Pm 0.0000 0.0000 0.0000 [4 per cell]
2 Al 0.0000 0.0000 0.5000 [4 per cell]
3 Pt 0.2500 0.2500 0.2500 [8 per cell]

- Density of states at the Fermi level: 10.1 states/eV per cell
- Calculated volume: 19.2 Å³/atom
- Magnetization: 0.00 Bohr magnetons per cell

=====

It comes down to entry 1, which is 25.3 kJ/mol of atoms more stable than the next structure.

=====

Entry 1
This record from the Alexandria database describes an optimized crystal structure of PmAlPt. The functional is PBE.

abc: 4.4078 4.4078 3.9294
angles: 90.00 90.00 120.00
Space group P-6m2 (No. 187)
Inequivalent atoms, fractional coordinates:
1 Pm 0.0000 0.0000 0.0000 [1 per cell]
2 Al 0.3333 0.6667 0.5000 [1 per cell]
3 Pt 0.6667 0.3333 0.5000 [1 per cell]

- Density of states at the Fermi level: 1.9 states/eV per cell
- Calculated volume: 22.0 Å³/atom
- Magnetization: 0.00 Bohr magnetons per cell

=====

Entry 2
This record from the Alexandria database describes an optimized crystal structure of PmAlPt. The functional is PBE.

abc: 7.1231 4.3305 12.1852
angles: 90.00 91.29 90.00
Space group P2_1/m (No. 11)
Inequivalent atoms, fractional coordinates:
1 Pm 0.0224 0.2500 0.3734 [2 per cell]
2 Pm 0.1507 0.2500 0.0809 [2 per cell]
3 Pm 0.4753 0.7500 0.7070 [2 per cell]
4 Al 0.1484 0.2500 0.7992 [2 per cell]
5 Al 0.3531 0.7500 0.4571 [2 per cell]
6 Al 0.4939 0.7500 0.0833 [2 per cell]
7 Pt 0.2311 0.7500 0.2440 [2 per cell]
8 Pt 0.2771 0.2500 0.5705 [2 per cell]
9 Pt 0.2794 0.7500 0.9077 [2 per cell]

- Density of states at the Fermi level: 10.9 states/eV per cell
- Calculated volume: 20.9 Å³/atom
- Magnetization: 0.00 Bohr magnetons per cell

=====

It comes down to entry 2, which is 8.8 kJ/mol of atoms more stable than the next structure.

=====

Entry 1
This record from the Alexandria database describes an optimized crystal structure of PmAlPt. The functional is PBE.

abc: 4.7881 4.7881 21.5657
angles: 90.00 90.00 120.00
Space group R-3m (No. 166, hexagonal axes)
Inequivalent atoms, fractional coordinates:
1 Pm 0.0000 0.0000 0.1133 [6 per cell]
2 Al 0.0000 0.0000 0.3730 [6 per cell]
3 Pt 0.0000 0.0000 0.2583 [6 per cell]

- Density of states at the Fermi level: 7.1 states/eV per cell
- Calculated volume: 23.8 Å³/atom
- Magnetization: 0.00 Bohr magnetons per cell

=====

Entry 2
This record from the Alexandria database describes an optimized crystal structure of PmAlPt. The functional is PBE.

abc: 6.6081 6.6081 6.6081
angles: 90.00 90.00 90.00
Space group F-43m (No. 216)
Inequivalent atoms, fractional coordinates:
1 Pm 0.0000 0.0000 0.0000 [4 per cell]
2 Al 0.0000 0.0000 0.5000 [4 per cell]
3 Pt 0.2500 0.2500 0.2500 [4 per cell]

- Density of states at the Fermi level: 16.2 states/eV per cell
- Calculated volume: 24.0 Å³/atom
- Magnetization: 0.00 Bohr magnetons per cell

=====

Entry 3
This record from the Alexandria database describes an optimized crystal structure of PmAlPt. The functional is PBE.

abc: 7.1119 4.4862 7.8371
angles: 90.00 90.00 90.00
Space group Pnma (No. 62)
Inequivalent atoms, fractional coordinates:
1 Pm 0.0297 0.2500 0.1819 [4 per cell]
2 Al 0.1459 0.2500 0.5665 [4 per cell]
3 Pt 0.2192 0.7500 0.3875 [4 per cell]

- Density of states at the Fermi level: 5.9 states/eV per cell
- Calculated volume: 20.8 Å³/atom
- Magnetization: 0.00 Bohr magnetons per cell

=====

It comes down to entry 3, which is 28.4 kJ/mol of atoms more stable than the next structure.